# PBE Sc2TaCu, relaxed
# Formation enthalpy at 0 K (eV/atom): 0.20
data_Sc2TaCu
_chemical_formula_sum 'Sc2 Ta1 Cu1'
_cell_length_a 4.293
_cell_length_b 4.290
_cell_length_c 4.067
_cell_angle_alpha 90.00
_cell_angle_beta 90.00
_cell_angle_gamma 90.00
_symmetry_space_group_name_H-M 'P 1'
_symmetry_Int_Tables_number 1
loop_
_symmetry_equiv_pos_as_xyz
'x,y,z'
loop_
_atom_site_label
_atom_site_type_symbol
_atom_site_fract_x
_atom_site_fract_y
_atom_site_fract_z
Ta1 Ta 0.500 0.000 0.500
Cu1 Cu 0.000 0.500 0.500
Sc1 Sc 0.500 0.500 0.000
Sc2 Sc 0.000 0.000 0.000

# PBE Na2YSc, relaxed
# Formation enthalpy at 0 K (eV/atom): 0.51
data_Na2YSc
_chemical_formula_sum 'Na2 Y1 Sc1'
_cell_length_a 5.533
_cell_length_b 5.533
_cell_length_c 5.533
_cell_angle_alpha 60.00
_cell_angle_beta 60.00
_cell_angle_gamma 60.00
_symmetry_space_group_name_H-M 'P 1'
_symmetry_Int_Tables_number 1
loop_
_symmetry_equiv_pos_as_xyz
'x,y,z'
loop_
_atom_site_label
_atom_site_type_symbol
_atom_site_fract_x
_atom_site_fract_y
_atom_site_fract_z
Sc1 Sc 0.000 0.000 0.000
Na1 Na 0.250 0.250 0.250
Y1 Y 0.500 0.500 0.500
Na2 Na 0.750 0.750 0.750

# PBE RbCd3Ge3, relaxed
# Formation enthalpy at 0 K (eV/atom): 0.19
data_RbCd3Ge3
_chemical_formula_sum 'Rb2 Cd6 Ge6'
_cell_length_a 7.604
_cell_length_b 7.604
_cell_length_c 7.604
_cell_angle_alpha 90.00
_cell_angle_beta 90.00
_cell_angle_gamma 90.00
_symmetry_space_group_name_H-M 'P 1'
_symmetry_Int_Tables_number 1
loop_
_symmetry_equiv_pos_as_xyz
'x,y,z'
loop_
_atom_site_label
_atom_site_type_symbol
_atom_site_fract_x
_atom_site_fract_y
_atom_site_fract_z
Ge1 Ge 0.000 0.500 0.250
Ge2 Ge 0.000 0.500 0.750
Cd1 Cd 0.250 0.500 0.000
Ge3 Ge 0.500 0.750 0.000
Cd2 Cd 0.500 0.000 0.250
Cd3 Cd 0.000 0.250 0.500
Ge4 Ge 0.250 0.000 0.500
Cd4 Cd 0.750 0.500 0.000
Cd5 Cd 0.500 0.000 0.750
Rb1 Rb 0.000 0.000 0.000
Cd6 Cd 0.000 0.750 0.500
Ge5 Ge 0.750 0.000 0.500
Rb2 Rb 0.500 0.500 0.500
Ge6 Ge 0.500 0.250 0.000

Q: The highest formation enthalpy at 0 K belongs to which entry?
A: Na2YSc